1.
HfPa2C: relaxed, PBE.

Cell: 3.072 3.072 8.138 Å, 90.00 90.00 90.00°
Sites, in units of the cell vectors:
Hf  0.000  0.000  0.000
Pa  0.500  0.500  0.323
Pa  0.500  0.500  0.677
C  0.000  0.000  0.500

Properties
- Formation energy: 0.13 eV/atom
- Energy above the most stable polymorph in this dataset: 39 meV/atom
- Crystal system: tetragonal

---

2.
SmOsBr: relaxed, PBE.

Cell: 7.204 4.258 11.486 Å, 90.00 92.24 90.00°
Sites, in units of the cell vectors:
Sm  0.012  0.000  0.180
Sm  0.488  0.500  0.820
Sm  0.512  0.500  0.180
Sm  0.988  0.000  0.820
Os  0.172  0.500  0.989
Os  0.328  0.000  0.011
Os  0.672  0.000  0.989
Os  0.828  0.500  0.011
Br  0.182  0.500  0.342
Br  0.318  0.000  0.658
Br  0.682  0.000  0.342
Br  0.818  0.500  0.658

Properties
- Formation energy (no corrections): -92.95 kJ/mol of atoms
- Energy above the most stable polymorph in this dataset: 0 meV/atom
- Crystal system: monoclinic

---

3.
NbMoOs2Pt: relaxed, PBE.

Cell: 4.630 4.630 4.779 Å, 90.00 90.00 90.00°
Sites, in units of the cell vectors:
Nb  0.000  0.000  0.000
Mo  0.500  0.500  0.500
Os  0.000  0.500  0.500
Os  0.500  0.000  0.500
Pt  0.500  0.500  0.000

Properties
- Formation energy: 1.77 eV/atom
- Crystal system: tetragonal

---

4.
Na3FeRh2S6: relaxed, PBE.

Cell: 6.235 6.235 6.596 Å, 99.07 99.07 120.02°
Sites, in units of the cell vectors:
Na  0.000  0.000  0.000
Na  0.330  0.670  0.000
Na  0.670  0.330  0.000
Fe  0.500  0.500  0.500
Rh  0.167  0.833  0.500
Rh  0.833  0.167  0.500
S  0.114  0.438  0.314
S  0.238  0.238  0.687
S  0.438  0.114  0.314
S  0.562  0.886  0.686
S  0.762  0.762  0.313
S  0.886  0.562  0.686

Properties
- Formation energy (no corrections): -66.55 kJ/mol of atoms
- Crystal system: monoclinic

---

5.
Zn4Cu2Au: relaxed, PBE.

Cell: 4.961 8.778 5.050 Å, 90.00 108.87 90.00°
Sites, in units of the cell vectors:
Zn  0.001  0.162  0.498
Zn  0.001  0.338  0.998
Zn  0.499  0.744  0.500
Zn  0.499  0.756  0.000
Zn  0.501  0.244  0.000
Zn  0.501  0.256  0.500
Zn  0.999  0.662  0.002
Zn  0.999  0.838  0.502
Cu  0.438  0.000  0.725
Cu  0.438  0.500  0.225
Cu  0.562  0.000  0.275
Cu  0.562  0.500  0.775
Au  0.000  0.000  0.000
Au  0.000  0.500  0.500

Properties
- Formation energy: -0.01 eV/atom
- Energy above the most stable polymorph in this dataset: 0 meV/atom
- Crystal system: monoclinic

---

6.
Sr2TcPb: relaxed, PBE.

Cell: 3.497 3.497 9.662 Å, 90.00 90.00 90.00°
Sites, in units of the cell vectors:
Sr  0.000  0.000  0.219
Sr  0.000  0.000  0.781
Tc  0.500  0.500  0.000
Pb  0.500  0.500  0.500

Properties
- Formation energy: 0.40 eV/atom
- Crystal system: tetragonal